# MoPAu2 | Alexandria via LeMat-Bulk | PBE | optimized geometry
data_MoPAu2
_cell_length_a 3.0864
_cell_length_b 4.3359
_cell_length_c 4.9921
_cell_angle_alpha 90.00
_cell_angle_beta 90.00
_cell_angle_gamma 90.00
_space_group_name_H-M_alt 'P m m m'
_space_group_IT_number 47
loop_
_space_group_symop_operation_xyz
'x,y,z'
'-x,-y,-z'
'-x,-y,z'
'x,y,-z'
'x,-y,-z'
'-x,y,z'
'-x,y,-z'
'x,-y,z'
loop_
_atom_site_label
_atom_site_type_symbol
_atom_site_fract_x
_atom_site_fract_y
_atom_site_fract_z
Mo1 Mo 0.0000 0.0000 0.0000
P1 P 0.5000 0.5000 0.0000
Au1 Au 0.0000 0.5000 0.5000
Au2 Au 0.5000 0.0000 0.5000
# calculated total energy = -5.339 eV per atom
# formation energy = 0.3599 eV/atom
# crystal system = orthorhombic